Record 1
{
  "formula": "SrCuSb",
  "functional": "GGA-PBE",
  "state": "optimized geometry",
  "lattice": [[-4.2894, 0.4213, 3.2419], [2.0637, -4.8541, -1.1247], [3.9175, 0.4790, 5.1211]],
  "species": ["Sb", "Sb", "Sr", "Sr", "Cu", "Cu"],
  "frac_coords": [[0.6667, 0.3333, 0.7500], [0.3333, 0.6667, 0.2500], [0.6667, 0.3333, 0.2500], [0.3333, 0.6667, 0.7500], [0.0000, 0.0000, 0.0000], [0.0000, 0.0000, 0.5000]],
  "sg": "P6_3/mmc",
  "e_tot_ev_per_atom": -3.309
}

Record 2
{
  "formula": "Zr3Sc3Sb2Os",
  "functional": "GGA-PBE",
  "state": "optimized geometry",
  "lattice": [[-4.8578, -3.5297, 4.8694], [4.2882, -4.1803, -4.8893], [2.7383, -0.2090, 2.5803]],
  "species": ["Sb", "Sb", "Zr", "Zr", "Zr", "Os", "Sc", "Sc", "Sc"],
  "frac_coords": [[0.3333, 0.6667, 0.5000], [0.6667, 0.3333, 0.5000], [0.3933, 0.0000, 0.0000], [0.6067, 0.6067, 0.0000], [0.0000, 0.3933, 0.0000], [0.0000, 0.0000, 0.0000], [0.2430, 0.2430, 0.5000], [0.7570, 0.0000, 0.5000], [0.0000, 0.7570, 0.5000]],
  "m_tot_mub_per_atom": 0.0031,
  "sg": "P-62m",
  "e_tot_ev_per_atom": -7.707,
  "polymorph_energy_mev_per_atom": 13
}

Record 3
{
  "formula": "GdZnCuSe3",
  "functional": "GGA-PBE",
  "state": "optimized geometry",
  "lattice": [[2.1275, 6.0302, 1.7399], [-3.2191, -3.6336, -4.5113], [-9.1970, 1.7603, 5.1448]],
  "species": ["Zn", "Zn", "Se", "Se", "Se", "Se", "Se", "Se", "Gd", "Gd", "Cu", "Cu"],
  "frac_coords": [[0.7745, 0.2255, 0.7500], [0.2255, 0.7745, 0.2500], [0.3478, 0.6522, 0.5840], [0.6522, 0.3478, 0.0840], [0.3478, 0.6522, 0.9160], [0.1064, 0.8936, 0.7500], [0.6522, 0.3478, 0.4160], [0.8936, 0.1064, 0.2500], [0.0000, 0.0000, 0.5000], [0.0000, 0.0000, 0.0000], [0.4801, 0.5199, 0.7500], [0.5199, 0.4801, 0.2500]],
  "m_tot_mub_per_atom": 0.0009,
  "sg": "Cmcm",
  "e_tot_ev_per_atom": -4.184
}

Record 4
{
  "formula": "TePd15",
  "functional": "GGA-PBE",
  "state": "optimized geometry",
  "lattice": [[3.9843, 0.0000, 0.0000], [0.0000, 7.9569, 0.0000], [0.0000, 0.0000, 42.1376]],
  "species": ["Te", "Te", "Te", "Te", "Pd", "Pd", "Pd", "Pd", "Pd", "Pd", "Pd", "Pd", "Pd", "Pd", "Pd", "Pd", "Pd", "Pd", "Pd", "Pd", "Pd", "Pd", "Pd", "Pd", "Pd", "Pd", "Pd", "Pd", "Pd", "Pd", "Pd", "Pd", "Pd", "Pd", "Pd", "Pd", "Pd", "Pd", "Pd", "Pd", "Pd", "Pd", "Pd", "Pd", "Pd", "Pd", "Pd", "Pd", "Pd", "Pd", "Pd", "Pd", "Pd", "Pd", "Pd", "Pd", "Pd", "Pd", "Pd", "Pd", "Pd", "Pd", "Pd", "Pd"],
  "frac_coords": [[0.7500, 0.3216, 0.1538], [0.2500, 0.3215, 0.8462], [0.2500, 0.6784, 0.1538], [0.7500, 0.6785, 0.8462], [0.7500, 0.1270, 0.2945], [0.2500, 0.3779, 0.2949], [0.2500, 0.1286, 0.2492], [0.7500, 0.8887, 0.1535], [0.7500, 0.6249, 0.4771], [0.2500, 0.1251, 0.5228], [0.7500, 0.3751, 0.5228], [0.7500, 0.3772, 0.8010], [0.7500, 0.8754, 0.3401], [0.2500, 0.8885, 0.8465], [0.2500, 0.6253, 0.6139], [0.7500, 0.6253, 0.5685], [0.7500, 0.1244, 0.3859], [0.2500, 0.8755, 0.6599], [0.2500, 0.1206, 0.7963], [0.2500, 0.8756, 0.3859], [0.7500, 0.6226, 0.1991], [0.2500, 0.1113, 0.1535], [0.7500, 0.6253, 0.3861], [0.2500, 0.8749, 0.4772], [0.2500, 0.8730, 0.2945], [0.2500, 0.3784, 0.7521], [0.2500, 0.8754, 0.5684], [0.2500, 0.8796, 0.2038], [0.7500, 0.6221, 0.2949], [0.7500, 0.3747, 0.6139], [0.7500, 0.8749, 0.5228], [0.7500, 0.3778, 0.7051], [0.2500, 0.6215, 0.2479], [0.7500, 0.8730, 0.7055], [0.2500, 0.3774, 0.1991], [0.2500, 0.3751, 0.4771], [0.7500, 0.6251, 0.6594], [0.7500, 0.1246, 0.5684], [0.7500, 0.8714, 0.2492], [0.2500, 0.3749, 0.6594], [0.7500, 0.1245, 0.6599], [0.7500, 0.1251, 0.4772], [0.2500, 0.1244, 0.6141], [0.7500, 0.1204, 0.2038], [0.7500, 0.3749, 0.3406], [0.2500, 0.6253, 0.4315], [0.7500, 0.8756, 0.6141], [0.7500, 0.1286, 0.7508], [0.7500, 0.3747, 0.4315], [0.2500, 0.6249, 0.5228], [0.2500, 0.6228, 0.8010], [0.7500, 0.8754, 0.4316], [0.2500, 0.6251, 0.3406], [0.7500, 0.6216, 0.7521], [0.2500, 0.3747, 0.3861], [0.7500, 0.3785, 0.2479], [0.2500, 0.1246, 0.4316], [0.2500, 0.6222, 0.7051], [0.7500, 0.1115, 0.8465], [0.2500, 0.3747, 0.5685], [0.2500, 0.8714, 0.7508], [0.2500, 0.1270, 0.7055], [0.7500, 0.8794, 0.7963], [0.2500, 0.1246, 0.3401]],
  "sg": "Pccm",
  "e_tot_ev_per_atom": -5.076,
  "polymorph_energy_mev_per_atom": 3
}

Record 5
{
  "formula": "ScGaTc",
  "functional": "GGA-PBE",
  "state": "optimized geometry",
  "lattice": [[1.5654, -4.9600, -0.5915], [-1.8097, -1.0801, 4.7917], [-3.1644, 2.1139, -3.5944]],
  "species": ["Sc", "Sc", "Tc", "Tc", "Ga", "Ga"],
  "frac_coords": [[0.1351, 0.8851, 0.2500], [0.8649, 0.1149, 0.7500], [0.5000, 0.5000, 0.5000], [0.5000, 0.0000, 0.0000], [0.5000, 0.5000, 0.0000], [0.0000, 0.5000, 0.5000]],
  "m_tot_mub_per_atom": 0.0003,
  "sg": "Imma",
  "e_tot_ev_per_atom": -7.064,
  "polymorph_energy_mev_per_atom": 0
}

Record 6
{
  "formula": "Pr2MoC2",
  "functional": "GGA-PBE",
  "state": "optimized geometry",
  "lattice": [[-5.7953, -0.6651, 0.5036], [0.8291, -4.9828, 2.9607], [0.1652, 5.3751, 8.9999]],
  "species": ["C", "C", "C", "C", "C", "C", "C", "C", "Mo", "Mo", "Mo", "Mo", "Pr", "Pr", "Pr", "Pr", "Pr", "Pr", "Pr", "Pr"],
  "frac_coords": [[0.0000, 0.5000, 0.5000], [0.0000, 0.0000, 0.8576], [0.0000, 0.5000, 0.0000], [0.0000, 0.0000, 0.1424], [0.5000, 0.5000, 0.6424], [0.5000, 0.0000, 0.0000], [0.5000, 0.0000, 0.5000], [0.5000, 0.5000, 0.3576], [0.8246, 0.8246, 0.0000], [0.3246, 0.6754, 0.5000], [0.1754, 0.1754, 0.0000], [0.6754, 0.3246, 0.5000], [0.1975, 0.1975, 0.6556], [0.1975, 0.1975, 0.3444], [0.6975, 0.3025, 0.1556], [0.3025, 0.6975, 0.1556], [0.8025, 0.8025, 0.6556], [0.3025, 0.6975, 0.8444], [0.6975, 0.3025, 0.8444], [0.8025, 0.8025, 0.3444]],
  "m_tot_mub_per_atom": 0.0002,
  "sg": "P4_2/mnm",
  "e_tot_ev_per_atom": -7.923
}

Record 7
{
  "formula": "TbTmSc",
  "functional": "GGA-PBE",
  "state": "optimized geometry",
  "lattice": [[0.0000, 3.6889, 3.6889], [3.6889, 0.0000, 3.6889], [3.6889, 3.6889, 0.0000]],
  "species": ["Tm", "Tb", "Sc"],
  "frac_coords": [[0.7500, 0.7500, 0.7500], [0.2500, 0.2500, 0.2500], [0.0000, 0.0000, 0.0000]],
  "formation_energy_ev_per_atom": 0.692,
  "m_tot_mub_per_atom": 0.0005,
  "sg": "F-43m",
  "e_tot_ev_per_atom": -4.452,
  "polymorph_energy_mev_per_atom": 0
}

Record 8
{
  "formula": "MgFePdPb",
  "functional": "GGA-PBE",
  "state": "optimized geometry",
  "lattice": [[-1.5218, -3.7474, -2.0861], [-4.4693, -0.8322, -0.2086], [-2.1948, 0.3392, -3.9722]],
  "species": ["Mg", "Pb", "Fe", "Pd"],
  "frac_coords": [[0.5000, 0.5000, 0.5000], [0.0000, 0.0000, 0.0000], [0.7500, 0.7500, 0.7500], [0.2500, 0.2500, 0.2500]],
  "m_tot_mub_per_atom": 0.5609,
  "sg": "F-43m",
  "e_tot_ev_per_atom": -4.651,
  "polymorph_energy_mev_per_atom": 0
}

Record 9
{
  "formula": "BeCoSbOs",
  "functional": "GGA-PBE",
  "state": "optimized geometry",
  "lattice": [[-3.6588, -2.1281, 0.0003], [-3.6420, 2.0524, 0.6629], [-2.7480, 0.5147, -3.1780]],
  "species": ["Co", "Sb", "Be", "Os"],
  "frac_coords": [[0.7500, 0.7500, 0.7500], [0.0000, 0.0000, 0.0000], [0.5000, 0.5000, 0.5000], [0.2500, 0.2500, 0.2500]],
  "m_tot_mub_per_atom": 0.0557,
  "sg": "F-43m",
  "e_tot_ev_per_atom": -6.362,
  "polymorph_energy_mev_per_atom": 0
}

Record 10
{
  "formula": "ErSbN2O",
  "functional": "GGA-PBE",
  "state": "optimized geometry",
  "lattice": [[7.7703, 0.0000, 0.0000], [0.0000, 5.5461, 0.0000], [0.0000, 0.0000, 5.7559]],
  "species": ["Er", "Er", "Er", "Er", "N", "N", "N", "N", "N", "N", "N", "N", "O", "O", "O", "O", "Sb", "Sb", "Sb", "Sb"],
  "frac_coords": [[0.5000, 0.7549, 0.9354], [0.0000, 0.2638, 0.5580], [0.0000, 0.7362, 0.0580], [0.5000, 0.2451, 0.4354], [0.0000, 0.8760, 0.4431], [0.1980, 0.5720, 0.8134], [0.1980, 0.4280, 0.3134], [0.5000, 0.6459, 0.5439], [0.8020, 0.4280, 0.3134], [0.0000, 0.1240, 0.9431], [0.8020, 0.5720, 0.8134], [0.5000, 0.3541, 0.0439], [0.3121, 0.0561, 0.6960], [0.3121, 0.9439, 0.1960], [0.6879, 0.9439, 0.1960], [0.6879, 0.0561, 0.6960], [0.7544, 0.2626, 0.0006], [0.2456, 0.2626, 0.0006], [0.7544, 0.7374, 0.5006], [0.2456, 0.7374, 0.5006]],
  "m_tot_mub_per_atom": 0.0003,
  "sg": "Pmc2_1",
  "e_tot_ev_per_atom": -7.049
}